[1]
The following is a GGA-PBE calculation of crystalline Ho2Tm2Sn at its relaxed geometry, from Alexandria via LeMat-Bulk.

a b c (Å): 4.2967 4.2967 16.8215
angles (deg): 90.00 90.00 90.00
Space group I4/mmm (No. 139)
Symmetry-distinct sites (fractional):
1 Ho 0.0000 0.5000 0.2500
2 Tm 0.0000 0.0000 0.0880
3 Sn 0.0000 0.0000 0.5000

V = 310.6 Å³/cell
E_form = 0.22 eV per atom

=====

[2]
The following is a GGA-PBE calculation of crystalline Ho2TmSn at its relaxed geometry, from Alexandria via LeMat-Bulk.

a b c (Å): 13.0983 5.1250 6.7475
angles (deg): 90.00 90.00 90.00
Space group Pnma (No. 62)
Symmetry-distinct sites (fractional):
1 Ho 0.0652 0.2500 0.1204
2 Ho 0.1881 0.7500 0.3644
3 Tm 0.0740 0.2500 0.6199
4 Sn 0.1812 0.7500 0.8683

ΔE to the lowest computed polymorph = 0.04 eV per formula unit
V = 452.9 Å³/cell
E_form = -0.39 eV per atom

=====

[3]
The following is a GGA-PBE calculation of crystalline Ho2TmSn at its relaxed geometry, from Alexandria via LeMat-Bulk.

a b c (Å): 3.5477 3.5477 9.1649
angles (deg): 90.00 90.00 90.00
Space group P4/mmm (No. 123)
Symmetry-distinct sites (fractional):
1 Ho 0.0000 0.0000 0.2306
2 Tm 0.5000 0.5000 0.5000
3 Sn 0.5000 0.5000 0.0000

ΔE to the lowest computed polymorph = 0.40 eV per formula unit
V = 115.4 Å³/cell
E_form = -0.30 eV per atom

=====

[4]
The following is a GGA-PBE calculation of crystalline Ho3Tm2Sn at its relaxed geometry, from Alexandria via LeMat-Bulk.

a b c (Å): 8.3282 3.5255 12.0988
angles (deg): 90.00 90.20 90.00
Space group P2_1/m (No. 11)
Symmetry-distinct sites (fractional):
1 Ho 0.0788 0.2500 0.1105
2 Ho 0.3443 0.7500 0.5575
3 Ho 0.3905 0.7500 0.2501
4 Tm 0.0768 0.2500 0.3883
5 Tm 0.3457 0.7500 0.9417
6 Sn 0.1906 0.2500 0.7506

V = 355.2 Å³/cell
E_form = -0.21 eV per atom

=====

[5]
The following is a GGA-PBE calculation of crystalline Ho3Tm5Sn2 at its relaxed geometry, from Alexandria via LeMat-Bulk.

a b c (Å): 12.6095 15.5517 6.2503
angles (deg): 90.00 90.00 90.00
Space group Ibam (No. 72)
Symmetry-distinct sites (fractional):
1 Ho 0.0000 0.0000 0.2500
2 Ho 0.1171 0.2109 0.0000
3 Tm 0.0000 0.5000 0.2500
4 Tm 0.1053 0.3346 0.5000
5 Tm 0.2491 0.5000 0.2500
6 Sn 0.1410 0.1471 0.5000

V = 1225.7 Å³/cell
E_form = -0.02 eV per atom

=====

[6]
The following is a GGA-PBE calculation of crystalline Ho4TmSn2 at its relaxed geometry, from Alexandria via LeMat-Bulk.

a b c (Å): 5.2746 5.2746 16.3643
angles (deg): 90.00 90.00 90.00
Space group I4/mmm (No. 139)
Symmetry-distinct sites (fractional):
1 Ho 0.0000 0.0000 0.1849
2 Ho 0.0000 0.5000 0.0000
3 Tm 0.0000 0.0000 0.0000
4 Sn 0.0000 0.0000 0.3709

V = 455.3 Å³/cell
E_form = 0.39 eV per atom

=====

[7]
The following is a GGA-PBE calculation of crystalline HoTm2Sn at its relaxed geometry, from Alexandria via LeMat-Bulk.

a b c (Å): 3.5484 3.5484 9.0687
angles (deg): 90.00 90.00 90.00
Space group P4/mmm (No. 123)
Symmetry-distinct sites (fractional):
1 Ho 0.0000 0.0000 0.0000
2 Tm 0.5000 0.5000 0.2698
3 Sn 0.0000 0.0000 0.5000

ΔE to the lowest computed polymorph = 0.38 eV per formula unit
V = 114.2 Å³/cell
E_form = -0.30 eV per atom

=====

[8]
The following is a GGA-PBE calculation of crystalline HoTm7Sn4 at its relaxed geometry, from Alexandria via LeMat-Bulk.

a b c (Å): 15.2482 5.5834 9.4130
angles (deg): 90.00 120.31 90.00
Space group C2/m (No. 12)
Symmetry-distinct sites (fractional):
1 Ho 0.0000 0.0000 0.0000
2 Tm 0.0000 0.5000 0.0000
3 Tm 0.0722 0.0000 0.4168
4 Tm 0.1994 0.0000 0.8712
5 Tm 0.2429 0.0000 0.2985
6 Sn 0.0792 0.5000 0.7499
7 Sn 0.1801 0.5000 0.3364

V = 691.8 Å³/cell
E_form = -0.21 eV per atom

=====

[9]
The following is a GGA-PBE calculation of crystalline HoTm8Sn2 at its relaxed geometry, from Alexandria via LeMat-Bulk.

a b c (Å): 16.1636 6.5901 6.1675
angles (deg): 90.00 93.49 90.00
Space group C2/m (No. 12)
Symmetry-distinct sites (fractional):
1 Ho 0.0000 0.0000 0.0000
2 Tm 0.0820 0.5000 0.8804
3 Tm 0.0980 0.2533 0.4000
4 Tm 0.2122 0.0000 0.8424
5 Sn 0.2429 0.5000 0.6581

V = 655.7 Å³/cell
E_form = -0.15 eV per atom

=====

[10]
The following is a GGA-PBE calculation of crystalline Ho4TmSn at its relaxed geometry, from Alexandria via LeMat-Bulk.

a b c (Å): 5.3662 21.5308 6.4549
angles (deg): 90.00 90.00 90.00
Space group Cmc2_1 (No. 36)
Symmetry-distinct sites (fractional):
1 Ho 0.0000 0.0361 0.0000
2 Ho 0.0000 0.1773 0.1773
3 Ho 0.0000 0.2421 0.6976
4 Ho 0.0000 0.4304 0.8345
5 Tm 0.0000 0.3626 0.3469
6 Sn 0.0000 0.1045 0.5861

V = 745.8 Å³/cell
E_form = -0.11 eV per atom

=====

[11]
The following is a GGA-PBE calculation of crystalline Ho3TmSn2 at its relaxed geometry, from Alexandria via LeMat-Bulk.

a b c (Å): 6.3752 16.7559 6.3738
angles (deg): 90.00 90.00 90.00
Space group Ibam (No. 72)
Symmetry-distinct sites (fractional):
1 Ho 0.0000 0.0000 0.2500
2 Ho 0.2496 0.1724 0.0000
3 Tm 0.0000 0.5000 0.2500
4 Sn 0.2489 0.3601 0.0000

V = 680.9 Å³/cell
E_form = -0.57 eV per atom